(1)
# Rb2NpPaSe4 (PBE, optimized geometry)
# VASP energy (eV/atom): -6.065
# Total magnetization (μB/cell): 6.01
data_Rb2NpPaSe4
_symmetry_space_group_name_H-M 'P 1'
_symmetry_Int_Tables_number 1
_cell_length_a 7.3419
_cell_length_b 4.2346
_cell_length_c 8.4579
_cell_angle_alpha 90.00
_cell_angle_beta 106.70
_cell_angle_gamma 90.00
loop_
_symmetry_equiv_pos_as_xyz
'x,y,z'
loop_
_atom_site_label
_atom_site_type_symbol
_atom_site_fract_x
_atom_site_fract_y
_atom_site_fract_z
_atom_site_occupancy
Rb1 Rb 0.0000 0.0000 0.0000 1
Rb2 Rb 0.5000 0.5000 0.0000 1
Np1 Np 0.0000 0.5000 0.5000 1
Pa1 Pa 0.5000 0.0000 0.5000 1
Se1 Se 0.2379 0.0000 0.6990 1
Se2 Se 0.2705 0.5000 0.3000 1
Se3 Se 0.7295 0.5000 0.7000 1
Se4 Se 0.7621 0.0000 0.3010 1

(2)
# Rb3Np2PaSe6 (PBE, optimized geometry)
# VASP energy (eV/atom): -6.202
# Total magnetization (μB/cell): 10.00
data_Rb3Np2PaSe6
_symmetry_space_group_name_H-M 'P 1'
_symmetry_Int_Tables_number 1
_cell_length_a 7.3774
_cell_length_b 7.3774
_cell_length_c 8.4293
_cell_angle_alpha 98.39
_cell_angle_beta 98.39
_cell_angle_gamma 120.00
loop_
_symmetry_equiv_pos_as_xyz
'x,y,z'
loop_
_atom_site_label
_atom_site_type_symbol
_atom_site_fract_x
_atom_site_fract_y
_atom_site_fract_z
_atom_site_occupancy
Rb1 Rb 0.0000 0.0000 0.0000 1
Rb2 Rb 0.3323 0.6677 0.0000 1
Rb3 Rb 0.6677 0.3323 0.0000 1
Np1 Np 0.1666 0.8334 0.5000 1
Np2 Np 0.8334 0.1666 0.5000 1
Pa1 Pa 0.5000 0.5000 0.5000 1
Se1 Se 0.1061 0.4339 0.3017 1
Se2 Se 0.2384 0.2384 0.6985 1
Se3 Se 0.4339 0.1061 0.3017 1
Se4 Se 0.5661 0.8939 0.6983 1
Se5 Se 0.7616 0.7616 0.3015 1
Se6 Se 0.8939 0.5661 0.6983 1

(3)
# Rb4NpPa3Te8 (PBE, optimized geometry)
# VASP energy (eV/atom): -5.277
# Total magnetization (μB/cell): 3.15
data_Rb4NpPa3Te8
_symmetry_space_group_name_H-M 'P 1'
_symmetry_Int_Tables_number 1
_cell_length_a 8.9964
_cell_length_b 8.9964
_cell_length_c 10.2021
_cell_angle_alpha 116.80
_cell_angle_beta 116.80
_cell_angle_gamma 59.17
loop_
_symmetry_equiv_pos_as_xyz
'x,y,z'
loop_
_atom_site_label
_atom_site_type_symbol
_atom_site_fract_x
_atom_site_fract_y
_atom_site_fract_z
_atom_site_occupancy
Rb1 Rb 0.0000 0.0000 0.0000 1
Rb2 Rb 0.0000 0.5000 0.0000 1
Rb3 Rb 0.5000 0.0000 0.0000 1
Rb4 Rb 0.5000 0.5000 0.0000 1
Np1 Np 0.0000 0.0000 0.5000 1
Pa1 Pa 0.0000 0.5000 0.5000 1
Pa2 Pa 0.5000 0.0000 0.5000 1
Pa3 Pa 0.5000 0.5000 0.5000 1
Te1 Te 0.2362 0.7314 0.7048 1
Te2 Te 0.2368 0.2368 0.7054 1
Te3 Te 0.2652 0.2652 0.2946 1
Te4 Te 0.2686 0.7638 0.2952 1
Te5 Te 0.7314 0.2362 0.7048 1
Te6 Te 0.7348 0.7348 0.7054 1
Te7 Te 0.7632 0.7632 0.2947 1
Te8 Te 0.7638 0.2686 0.2952 1

(4)
# Rb2Np2PaTe6 (PBE, optimized geometry)
# VASP energy (eV/atom): -5.984
# Total magnetization (μB/cell): 9.00
data_Rb2Np2PaTe6
_symmetry_space_group_name_H-M 'P 1'
_symmetry_Int_Tables_number 1
_cell_length_a 7.7480
_cell_length_b 7.7480
_cell_length_c 9.1707
_cell_angle_alpha 98.28
_cell_angle_beta 98.28
_cell_angle_gamma 119.86
loop_
_symmetry_equiv_pos_as_xyz
'x,y,z'
loop_
_atom_site_label
_atom_site_type_symbol
_atom_site_fract_x
_atom_site_fract_y
_atom_site_fract_z
_atom_site_occupancy
Rb1 Rb 0.1682 0.8318 0.0000 1
Rb2 Rb 0.8318 0.1682 0.0000 1
Np1 Np 0.3325 0.6675 0.5000 1
Np2 Np 0.6675 0.3325 0.5000 1
Pa1 Pa 0.0000 0.0000 0.5000 1
Te1 Te 0.0701 0.3944 0.6996 1
Te2 Te 0.2606 0.2606 0.3022 1
Te3 Te 0.3944 0.0701 0.6996 1
Te4 Te 0.6056 0.9299 0.3004 1
Te5 Te 0.7394 0.7394 0.6978 1
Te6 Te 0.9299 0.6056 0.3004 1